# 1
# KSe2Br, relaxed, DFT GGA-PBEsol
data_KSe2Br
_symmetry_space_group_name_H-M 'I 4/m m m'
_symmetry_Int_Tables_number 139
_symmetry_space_group_name_Hall '-I 4 2'
_cell_length_a 4.0102
_cell_length_b 4.0102
_cell_length_c 14.2069
_cell_angle_alpha 90.00
_cell_angle_beta 90.00
_cell_angle_gamma 90.00
loop_
_atom_site_label
_atom_site_fract_x
_atom_site_fract_y
_atom_site_fract_z
K1 0.0000 0.0000 0.0000
Se1 0.0000 0.5000 0.2500
Br1 0.0000 0.0000 0.5000
# Formation energy without anion corrections: -0.450 eV per atom

# 2
# LiIn, relaxed, DFT GGA-PBEsol
data_LiIn
_symmetry_space_group_name_H-M 'C 1 m 1'
_symmetry_Int_Tables_number 8
_cell_length_a 11.0026
_cell_length_b 3.0935
_cell_length_c 7.2582
_cell_angle_alpha 90.00
_cell_angle_beta 103.83
_cell_angle_gamma 90.00
loop_
_symmetry_equiv_pos_as_xyz
'x,y,z'
'x,-y,z'
'x+1/2,y+1/2,z'
'x+1/2,-y+1/2,z'
loop_
_atom_site_label
_atom_site_fract_x
_atom_site_fract_y
_atom_site_fract_z
Li1 0.0000 0.0000 0.0000
Li2 0.0657 0.0000 0.6309
Li3 0.3813 0.0000 0.2800
In1 0.1515 0.5000 0.3382
In2 0.2236 0.5000 0.9582
In3 0.3469 0.0000 0.6661
# Formation enthalpy at 0 K: -0.2510 eV per atom

# 3
# SrHf2TlHg, relaxed, DFT GGA-PBEsol
data_SrHf2TlHg
_symmetry_space_group_name_H-M 'P 4/m m m'
_symmetry_Int_Tables_number 123
_symmetry_space_group_name_Hall '-P 4 2'
_cell_length_a 5.2722
_cell_length_b 5.2722
_cell_length_c 5.5009
_cell_angle_alpha 90.00
_cell_angle_beta 90.00
_cell_angle_gamma 90.00
loop_
_atom_site_label
_atom_site_fract_x
_atom_site_fract_y
_atom_site_fract_z
Sr1 0.0000 0.0000 0.0000
Hf1 0.0000 0.5000 0.0000
Tl1 0.5000 0.5000 0.5000
Hg1 0.0000 0.0000 0.5000
# Formation enthalpy at 0 K: 1.7451 eV per atom

no.,magnetization (μB/atom)
1,0.000
2,0.000
3,0.000